Entry 1:
VASP calculation (GGA-PBE) on crystalline PdRu2Rh9 at its relaxed geometry.

a b c (Å): 3.8383 3.8383 11.5732
angles (deg): 90.00 90.00 90.00
Last column: nearest neighbours and their distance in Å.
Fractional coordinates of all 12 atoms:
Rh  0.5000  0.5000  0.6637  8 Rh 2.70-2.71, 4 Ru 2.71
Rh  0.0000  0.5000  0.1715  2 Ru 2.66, 8 Rh 2.71-2.76, 2 Pd 2.76
Ru  0.0000  0.0000  0.6696  12 Rh 2.66-2.75
Rh  0.5000  0.5000  0.0000  4 Pd 2.71, 8 Rh 2.76
Rh  0.0000  0.5000  0.8285  2 Ru 2.66, 8 Rh 2.71-2.76, 2 Pd 2.76
Rh  0.0000  0.5000  0.5000  8 Rh 2.70-2.71, 4 Ru 2.75
Rh  0.5000  0.0000  0.8285  2 Ru 2.66, 8 Rh 2.71-2.76, 2 Pd 2.76
Rh  0.5000  0.0000  0.5000  8 Rh 2.70-2.71, 4 Ru 2.75
Ru  0.0000  0.0000  0.3304  12 Rh 2.66-2.75
Pd  0.0000  0.0000  0.0000  12 Rh 2.71-2.76
Rh  0.5000  0.0000  0.1715  2 Ru 2.66, 8 Rh 2.71-2.76, 2 Pd 2.76
Rh  0.5000  0.5000  0.3363  8 Rh 2.70-2.71, 4 Ru 2.71

Crystal system ... tetragonal
Volume ... 171 Å³/cell
Formation energy ... 28.3 meV per atom
E ... -7.464 eV per atom

---

Entry 2:
VASP calculation (GGA-PBE) on crystalline Sc2PdRuRh at its relaxed geometry.

a b c (Å): 4.7451 4.8516 4.7451
angles (deg): 90.00 90.00 90.00
Last column: nearest neighbours and their distance in Å.
Fractional coordinates of all 5 atoms:
Sc  0.5000  0.0000  0.0000  2 Rh 2.37
Ru  0.5000  0.5000  0.5000  4 Pd 3.36, 8 Sc 3.39
Rh  0.0000  0.0000  0.0000  4 Sc 2.37, 2 Pd 2.43
Sc  0.0000  0.0000  0.5000  2 Rh 2.37
Pd  0.0000  0.5000  0.0000  2 Rh 2.43

Crystal system ... tetragonal
Volume ... 109 Å³/cell
Formation energy ... 505.0 meV per atom
E ... -6.392 eV per atom

---

Entry 3:
VASP calculation (GGA-PBE) on crystalline PdRuRhSe2 at its relaxed geometry.

a b c (Å): 4.7300 4.7545 4.7300
angles (deg): 90.00 90.00 90.00
Last column: nearest neighbours and their distance in Å.
Fractional coordinates of all 5 atoms:
Se  0.0000  0.0000  0.5000  2 Ru 2.36
Se  0.5000  0.0000  0.0000  2 Ru 2.36
Ru  0.0000  0.0000  0.0000  4 Se 2.36, 2 Rh 2.38
Rh  0.0000  0.5000  0.0000  2 Ru 2.38
Pd  0.5000  0.5000  0.5000  4 Rh 3.34, 8 Se 3.35

Crystal system ... tetragonal
Volume ... 106 Å³/cell
Energy relative to the elements, uncorrected ... 0.890 eV/atom
E ... -4.868 eV per atom

---

Entry 4:
VASP calculation (GGA-PBE) on crystalline TaPdRuRh at its relaxed geometry.

a b c (Å): 3.8124 3.9220 4.0184
angles (deg): 90.00 90.00 90.00
Last column: nearest neighbours and their distance in Å.
Fractional coordinates of all 4 atoms:
Ru  0.5000  0.0000  0.5000  4 Ta 2.73, 4 Pd 2.77, 4 Rh 2.81
Pd  0.0000  0.0000  0.0000  4 Rh 2.73, 4 Ru 2.77, 4 Ta 2.81
Rh  0.5000  0.5000  0.0000  4 Pd 2.73, 4 Ta 2.77, 4 Ru 2.81
Ta  0.0000  0.5000  0.5000  4 Ru 2.73, 4 Rh 2.77, 4 Pd 2.81

Crystal system ... orthorhombic
Volume ... 60 Å³/cell
Formation energy ... -401.2 meV per atom
E ... -8.819 eV per atom

---

Entry 5:
VASP calculation (GGA-PBE) on crystalline PdRuRhW at its relaxed geometry.

a b c (Å): 4.3876 4.3876 4.3876
angles (deg): 60.00 60.00 60.00
Last column: nearest neighbours and their distance in Å.
Fractional coordinates of all 4 atoms:
W  0.0000  0.0000  0.0000  4 Ru 2.69, 4 Rh 2.69
Ru  0.2500  0.2500  0.2500  4 W 2.69, 4 Pd 2.69
Pd  0.5000  0.5000  0.5000  4 Rh 2.69, 4 Ru 2.69
Rh  0.7500  0.7500  0.7500  4 Pd 2.69, 4 W 2.69

Crystal system ... cubic
Volume ... 60 Å³/cell
Formation energy ... 117.2 meV per atom
E ... -8.576 eV per atom

---

Entry 6:
VASP calculation (GGA-PBE) on crystalline Zr2PdRuRh at its relaxed geometry.

a b c (Å): 4.9459 4.6318 4.9459
angles (deg): 90.00 90.00 90.00
Last column: nearest neighbours and their distance in Å.
Fractional coordinates of all 5 atoms:
Ru  0.0000  0.5000  0.0000  2 Rh 2.32
Pd  0.5000  0.5000  0.5000  8 Zr 3.39, 4 Ru 3.50
Zr  0.5000  0.0000  0.0000  2 Rh 2.47
Zr  0.0000  0.0000  0.5000  2 Rh 2.47
Rh  0.0000  0.0000  0.0000  2 Ru 2.32, 4 Zr 2.47

Crystal system ... tetragonal
Volume ... 113 Å³/cell
Formation energy ... 621.8 meV per atom
E ... -7.161 eV per atom

---

Entry 7:
VASP calculation (GGA-PBE) on crystalline PdRhS at its relaxed geometry.

a b c (Å): 3.7944 3.7408 3.7408
angles (deg): 120.00 90.00 90.00
Last column: nearest neighbours and their distance in Å.
Fractional coordinates of all 3 atoms:
Pd  0.6980  0.6667  0.3333  3 S 2.53, 3 Rh 2.74
Rh  0.2557  0.3333  0.6667  3 S 2.30
S  0.0463  0.0000  0.0000  3 Rh 2.30, 3 Pd 2.53

Crystal system ... trigonal
Volume ... 46 Å³/cell
Energy relative to the elements, uncorrected ... -0.129 eV/atom
E ... -5.686 eV per atom

---

Entry 8:
VASP calculation (GGA-PBE) on crystalline PdRh2S at its relaxed geometry.

a b c (Å): 5.1981 5.1981 6.9245
angles (deg): 67.95 67.95 90.00
Last column: nearest neighbours and their distance in Å.
Fractional coordinates of all 8 atoms:
Rh  0.5616  0.1250  0.2500  2 S 2.19
Pd  0.7500  0.2500  0.5000  4 Rh 2.55
S  0.5000  0.5000  0.0000  4 Rh 2.19
S  0.2500  0.7500  0.5000  4 Rh 2.19
Rh  0.3750  0.4384  0.7500  2 S 2.19
Pd  0.0000  0.0000  0.0000  4 Rh 2.55
Rh  0.8750  0.8116  0.7500  2 S 2.19
Rh  0.1884  0.6250  0.2500  2 S 2.19

Crystal system ... tetragonal
Volume ... 159 Å³/cell
Energy relative to the elements, uncorrected ... 0.335 eV/atom
E ... -5.671 eV per atom

---

Entry 9:
VASP calculation (GGA-PBE) on crystalline Pd2RhS4 at its relaxed geometry.

a b c (Å): 4.7839 4.7839 6.7245
angles (deg): 69.16 69.16 90.00
Last column: nearest neighbours and their distance in Å.
Fractional coordinates of all 7 atoms:
S  0.5000  0.0000  0.0000  2 Rh 2.39
Rh  0.0000  0.0000  0.0000  6 S 2.28-2.39
S  0.0000  0.5000  0.0000  2 Rh 2.39
S  0.8036  0.8036  0.3929  1 Pd 2.21, 1 Rh 2.28
Pd  0.6131  0.6131  0.7737  1 S 2.21
Pd  0.3869  0.3869  0.2263  1 S 2.21
S  0.1964  0.1964  0.6071  1 Pd 2.21, 1 Rh 2.28

Crystal system ... tetragonal
Volume ... 133 Å³/cell
Energy relative to the elements, uncorrected ... 0.304 eV/atom
E ... -4.589 eV per atom

---

Entry 10:
VASP calculation (GGA-PBE) on crystalline PdRh5S8 at its relaxed geometry.

a b c (Å): 7.0164 7.0164 7.0164
angles (deg): 60.00 60.00 60.00
Last column: nearest neighbours and their distance in Å.
Fractional coordinates of all 14 atoms:
Rh  0.1269  0.6244  0.6244  6 S 2.37-2.40
S  0.3865  0.8405  0.3865  1 Pd 2.35, 3 Rh 2.37
S  0.4010  0.8663  0.8663  4 Rh 2.30-2.40
S  0.8663  0.4010  0.8663  4 Rh 2.30-2.40
Rh  0.0000  0.0000  0.0000  4 S 2.30
Rh  0.6244  0.6244  0.6244  6 S 2.37-2.40
S  0.3865  0.3865  0.8405  1 Pd 2.35, 3 Rh 2.37
Pd  0.2500  0.2500  0.2500  4 S 2.35
Rh  0.6244  0.1269  0.6244  6 S 2.37-2.40
Rh  0.6244  0.6244  0.1269  6 S 2.37-2.40
S  0.8405  0.3865  0.3865  1 Pd 2.35, 3 Rh 2.37
S  0.8663  0.8663  0.4010  4 Rh 2.30-2.40
S  0.3865  0.3865  0.3865  1 Pd 2.35, 3 Rh 2.37
S  0.8663  0.8663  0.8663  4 Rh 2.30-2.40

Crystal system ... cubic
Volume ... 244 Å³/cell
Energy relative to the elements, uncorrected ... -0.415 eV/atom
E ... -5.770 eV per atom

---

Entry 11:
VASP calculation (GGA-PBE) on crystalline Pd3RhS at its relaxed geometry.

a b c (Å): 4.4436 4.4436 4.4436
angles (deg): 90.00 90.00 90.00
Last column: nearest neighbours and their distance in Å.
Fractional coordinates of all 5 atoms:
Pd  0.5000  0.0000  0.0000  2 S 2.22
Rh  0.5000  0.5000  0.5000  12 Pd 3.14
S  0.0000  0.0000  0.0000  6 Pd 2.22
Pd  0.0000  0.5000  0.0000  2 S 2.22
Pd  0.0000  0.0000  0.5000  2 S 2.22

Crystal system ... cubic
Volume ... 88 Å³/cell
Energy relative to the elements, uncorrected ... 0.320 eV/atom
E ... -5.092 eV per atom